[1]
Entry from Alexandria via LeMat-Bulk: Ca2LaP at its PBEsol-relaxed geometry (meta-GGA SCAN).

Results
ΔH_f (0 K) = -767 meV per atom
DOS(E_F) = 0.61 states/eV per atom
SG = R3m (160)

extended XYZ file:
```
4
Lattice="-0.2374 0.7740 -3.9455 -2.1644 -2.4061 -2.3976 -8.8519 5.1104 -0.5206" Properties=species:S:1:pos:R:3 pbc="T T T"
Ca -3.1035 -1.1393 -6.2042
Ca -8.4364 2.6061 -5.1486
La -4.9301 1.2498 -3.5698
P -2.8125 0.8689 -1.7161
```

[2]
Entry from Alexandria via LeMat-Bulk: BaRu2Au at its PBEsol-relaxed geometry (meta-GGA SCAN).

Results
Excess energy over the best structure of this formula in the dataset = 0.641 eV per atom
ΔH_f (0 K) = 1015 meV per atom
DOS(E_F) = 0.84 states/eV per atom
SG = Cmmm (65)

extended XYZ file:
```
4
Lattice="-0.9796 0.6127 2.6574 0.5379 -5.0380 1.3599 4.4402 2.5934 1.0388" Properties=species:S:1:pos:R:3 pbc="T T T"
Au -0.4898 0.3064 1.3287
Ba 1.9992 -0.9159 2.5281
Ru 0.2689 -2.5190 0.6800
Ru 2.2201 1.2967 0.5194
```

[3]
Entry from Alexandria via LeMat-Bulk: TiCO2F at its PBEsol-relaxed geometry (meta-GGA SCAN).

Results
Total DFT energy (no corrections) = -8.69 eV/atom
DOS(E_F) = 0.54 states/eV per atom
SG = P4/mmm (123)

extended XYZ file:
```
5
Lattice="-0.4806 -1.9358 2.9491 -2.1962 -2.1649 -1.7790 2.6627 -1.9864 -0.8699" Properties=species:S:1:pos:R:3 pbc="T T T"
C 0.0000 0.0000 0.0000
F 1.3313 -0.9932 -0.4350
O -1.0981 -1.0825 -0.8895
O -0.2403 -0.9679 1.4745
Ti -0.0071 -3.0435 0.1501
```

[4]
Entry from Alexandria via LeMat-Bulk: AlHgGe3 at its PBEsol-relaxed geometry (meta-GGA SCAN).

Results
ΔH_f (0 K) = 629 meV per atom
DOS(E_F) = 0.58 states/eV per atom
SG = Pm-3m (221)

extended XYZ file:
```
5
Lattice="4.8497 0.0000 0.0000 0.0000 4.8497 0.0000 0.0000 0.0000 4.8497" Properties=species:S:1:pos:R:3 pbc="T T T"
Ge 0.0000 2.4248 0.0000
Ge 0.0000 0.0000 2.4248
Ge 2.4248 0.0000 0.0000
Hg 2.4248 2.4248 2.4248
Al 0.0000 0.0000 0.0000
```